No. 1
## MnFe2Re (GGA-PBE)

Data for an optimized crystal structure of MnFe2Re.

POSCAR file:
```
MnFe2Re
1.0
-1.499 2.031 3.699
3.446 -2.683 0.991
1.635 1.949 -0.407
Fe Mn Re
2 1 1
direct
0.000 0.000 0.000
0.500 0.500 0.000
0.500 0.000 0.500
0.000 0.500 0.500
```

Values from the calculation:
M_tot ... 0.3 μB per cell
V ... 12.118 Å³ per atom
ΔE to the lowest computed polymorph ... 0.038 eV/atom
Space-group type ... Cmmm (65)
E_form ... 0.28 eV per formula unit
DFT total energy ... -38.26 eV for the cell shown

No. 2
## MnFe2Re (GGA-PBE)

Data for an optimized crystal structure of MnFe2Re.

POSCAR file:
```
MnFe2Re
1.0
-2.849 -1.888 -0.413
1.162 -2.261 2.322
-4.870 2.574 7.495
Re Mn Fe
2 2 4
direct
0.000 0.000 0.000
0.750 0.250 0.500
0.500 0.500 0.000
0.250 0.750 0.500
0.611 0.125 0.250
0.139 0.625 0.250
0.375 0.389 0.750
0.875 0.861 0.750
```

Values from the calculation:
M_tot ... 11.1 μB per cell
V ... 13.299 Å³ per atom
ΔE to the lowest computed polymorph ... 0.621 eV/atom
Space-group type ... I-42d (122)
E_form ... 2.62 eV per formula unit
DFT total energy ... -71.86 eV for the cell shown

No. 3
## MnFe6Re (GGA-PBE)

Data for an optimized crystal structure of MnFe6Re.

POSCAR file:
```
MnFe6Re
1.0
6.171 -0.041 0.000
-2.009 5.835 0.000
0.000 0.000 10.060
Fe Mn Re
24 4 4
direct
0.248 0.752 0.497
0.876 0.628 0.624
0.124 0.372 0.624
0.752 0.248 0.497
0.372 0.124 0.624
0.628 0.876 0.624
0.500 0.500 0.250
0.120 0.373 0.374
0.373 0.120 0.374
0.248 0.752 0.003
0.880 0.627 0.126
0.120 0.373 0.126
0.752 0.248 0.003
0.373 0.120 0.126
0.627 0.880 0.126
0.500 0.500 0.750
0.124 0.372 0.876
0.372 0.124 0.876
0.000 0.000 0.250
0.627 0.880 0.374
0.880 0.627 0.374
0.000 0.000 0.750
0.628 0.876 0.876
0.876 0.628 0.876
0.252 0.748 0.250
0.748 0.252 0.250
0.000 0.000 0.500
0.000 0.000 0.000
0.252 0.748 0.750
0.748 0.252 0.750
0.500 0.500 0.502
0.500 0.500 0.998
```

Values from the calculation:
M_tot ... 10.5 μB per cell
V ... 11.294 Å³ per atom
Space-group type ... Cmmm (65)
E_form ... 0.50 eV per formula unit
DFT total energy ... -287.58 eV for the cell shown

No. 4
## MnFeRe2 (GGA-PBE)

Data for an optimized crystal structure of MnFeRe2.

POSCAR file:
```
MnFeRe2
1.0
3.690 0.000 0.000
0.000 3.779 0.000
0.000 0.000 3.779
Fe Mn Re
1 1 2
direct
0.500 0.500 0.000
0.500 0.000 0.500
0.000 0.000 0.000
0.000 0.500 0.500
```

Values from the calculation:
M_tot ... 0.0 μB per cell
V ... 13.178 Å³ per atom
ΔE to the lowest computed polymorph ... 0.001 eV/atom
Space-group type ... P4/mmm (123)
E_form ... 0.17 eV per formula unit
DFT total energy ... -42.36 eV for the cell shown

No. 5
## MnFe2Re (GGA-PBE)

Data for an optimized crystal structure of MnFe2Re.

POSCAR file:
```
MnFe2Re
1.0
4.429 0.013 0.000
1.422 4.195 0.000
-2.926 -2.104 2.575
Fe Mn Re
2 1 1
direct
0.000 0.000 0.000
0.250 0.750 0.500
0.500 0.500 0.000
0.750 0.250 0.500
```

Values from the calculation:
M_tot ... 0.2 μB per cell
V ... 11.949 Å³ per atom
ΔE to the lowest computed polymorph ... 0.016 eV/atom
Space-group type ... I-4m2 (119)
E_form ... 0.19 eV per formula unit
DFT total energy ... -38.35 eV for the cell shown

No. 6
## MnFeRe2 (GGA-PBE)

Data for an optimized crystal structure of MnFeRe2.

POSCAR file:
```
MnFeRe2
1.0
-1.967 0.764 1.639
-1.422 -2.149 -0.705
3.033 -3.779 5.399
Fe Mn Re
1 1 2
direct
0.000 0.000 0.514
0.500 0.500 0.736
0.000 0.000 0.977
0.500 0.500 0.273
```

Values from the calculation:
M_tot ... 1.2 μB per cell
V ... 12.948 Å³ per atom
ΔE to the lowest computed polymorph ... 0.085 eV/atom
Space-group type ... P4mm (99)
E_form ... 0.51 eV per formula unit
DFT total energy ... -42.02 eV for the cell shown

No. 7
## MnFe2Re (GGA-PBE)

Data for an optimized crystal structure of MnFe2Re.

POSCAR file:
```
MnFe2Re
1.0
-1.527 -2.486 -3.860
1.882 -4.399 -0.722
-2.444 2.773 3.122
Fe Mn Re
2 1 1
direct
0.997 0.997 0.000
0.503 0.503 0.000
0.750 0.250 0.500
0.250 0.750 0.500
```

Values from the calculation:
M_tot ... 5.8 μB per cell
V ... 12.372 Å³ per atom
ΔE to the lowest computed polymorph ... 0.029 eV/atom
Space-group type ... Immm (71)
E_form ... 0.25 eV per formula unit
DFT total energy ... -38.30 eV for the cell shown

No. 8
## MnFeRe2 (GGA-PBE)

Data for an optimized crystal structure of MnFeRe2.

POSCAR file:
```
MnFeRe2
1.0
-3.673 -7.835 0.043
-1.544 -8.365 1.591
-3.766 -7.317 2.676
Fe Mn Re
1 1 2
direct
0.496 0.496 0.496
0.753 0.753 0.753
0.004 0.004 0.004
0.246 0.246 0.246
```

Values from the calculation:
M_tot ... 1.8 μB per cell
V ... 13.289 Å³ per atom
ΔE to the lowest computed polymorph ... 0.148 eV/atom
Space-group type ... R3m (160)
E_form ... 0.76 eV per formula unit
DFT total energy ... -41.77 eV for the cell shown

- The lowest V belongs to which entry?
  MnFe6Re

Please write out number 3 again, unchanged.
## MnFe6Re (GGA-PBE)

Data for an optimized crystal structure of MnFe6Re.

POSCAR file:
```
MnFe6Re
1.0
6.171 -0.041 0.000
-2.009 5.835 0.000
0.000 0.000 10.060
Fe Mn Re
24 4 4
direct
0.248 0.752 0.497
0.876 0.628 0.624
0.124 0.372 0.624
0.752 0.248 0.497
0.372 0.124 0.624
0.628 0.876 0.624
0.500 0.500 0.250
0.120 0.373 0.374
0.373 0.120 0.374
0.248 0.752 0.003
0.880 0.627 0.126
0.120 0.373 0.126
0.752 0.248 0.003
0.373 0.120 0.126
0.627 0.880 0.126
0.500 0.500 0.750
0.124 0.372 0.876
0.372 0.124 0.876
0.000 0.000 0.250
0.627 0.880 0.374
0.880 0.627 0.374
0.000 0.000 0.750
0.628 0.876 0.876
0.876 0.628 0.876
0.252 0.748 0.250
0.748 0.252 0.250
0.000 0.000 0.500
0.000 0.000 0.000
0.252 0.748 0.750
0.748 0.252 0.750
0.500 0.500 0.502
0.500 0.500 0.998
```

Values from the calculation:
M_tot ... 10.5 μB per cell
V ... 11.294 Å³ per atom
Space-group type ... Cmmm (65)
E_form ... 0.50 eV per formula unit
DFT total energy ... -287.58 eV for the cell shown

- Look up the E_form of the third one.
  0.50 eV per formula unit